The following is a DFT calculation (PBE) of a relaxed structure of YAgSeF2.

Lattice parameters (Å, degrees): 4.3008 4.3008 5.8178 90.00 90.00 90.00
Fractional coordinates of all 5 atoms:
Ag  0.5000  0.5000  0.5000
F  0.5000  0.0000  0.0000
F  0.0000  0.5000  0.0000
Se  0.0000  0.0000  0.5000
Y  0.0000  0.0000  0.0000

Properties
* total DFT energy (no corrections): -28.4 eV/f.u.
* spin magnetization: 0.0000 μB per atom
* energy above the most stable polymorph in this dataset: 0 meV/atom
* calculated volume: 108 Å³/cell
* formation energy (no corrections): -229.7 kJ/mol of atoms
* space group: P4/mmm